(1)
The following is a DFT calculation (GGA-PBE) of a relaxed Pm2PaRh3 crystal.

Energy relative to the elements in meV/atom: -726
Offset from the most stable computed form in meV/atom: 0
Size of the total moment in μB/cell: 0.00

Cell: 7.8936 7.8936 5.6849 Å, 103.43 103.43 119.95°
With the nearest neighbours (Å) after each atom.
Element x y z (fractional)
Rh: 0.0391 0.3725 0.1605  2 Pa 2.71, 1 Pm 2.86, 1 Rh 2.90
Rh: 0.2793 0.2639 0.8372  2 Pa 2.69-2.70, 1 Pm 2.87, 1 Rh 2.90
Rh: 0.3874 0.0694 0.1628  2 Pa 2.69-2.70, 1 Pm 2.87, 1 Rh 2.90
Rh: 0.6275 0.9609 0.8395  2 Pa 2.71, 1 Pm 2.86, 1 Rh 2.90
Rh: 0.7361 0.7207 0.1628  2 Pa 2.69-2.70, 1 Pm 2.87, 1 Rh 2.90
Rh: 0.9306 0.6126 0.8372  2 Pa 2.69-2.70, 1 Pm 2.87, 1 Rh 2.90
Pm: 0.1692 0.8308 0.5000  8 Rh 3.05-3.34
Pm: 0.4975 0.5025 0.5000  8 Rh 3.05-3.34
Pm: 0.3333 0.6667 0.0000  6 Rh 2.86-2.87
Pm: 0.8333 0.1667 0.5000  8 Rh 3.05-3.33
Pa: 0.6661 0.3339 0.0000  6 Rh 2.69-2.71
Pa: 0.0005 0.9995 0.0000  6 Rh 2.69-2.71

=====

(2)
The following is a DFT calculation (GGA-PBE) of a relaxed Ga2Cu2Si crystal.

Offset from the most stable computed form in meV/atom: 0
Size of the total moment in μB/cell: 0.00
Formation energy (no corrections) in kJ per mole of atoms: 14

Cell: 7.4248 7.4248 2.7116 Å, 90.00 90.00 90.00°
With the nearest neighbours (Å) after each atom.
Element x y z (fractional)
Ga: 0.8285 0.3285 0.5000  6 Cu 2.51-2.62, 2 Ga 2.71
Ga: 0.3285 0.1715 0.5000  6 Cu 2.51-2.62, 2 Ga 2.71
Ga: 0.1715 0.6715 0.5000  6 Cu 2.51-2.62, 2 Ga 2.71
Ga: 0.6715 0.8285 0.5000  6 Cu 2.51-2.62, 2 Ga 2.71
Si: 0.5000 0.5000 0.0000  2 Si 2.71, 4 Cu 2.92
Si: 0.0000 0.0000 0.0000  2 Si 2.71, 4 Cu 2.92
Cu: 0.3729 0.8729 0.0000  6 Ga 2.51-2.62, 3 Cu 2.67-2.71
Cu: 0.8729 0.6271 0.0000  6 Ga 2.51-2.62, 3 Cu 2.67-2.71
Cu: 0.6271 0.1271 0.0000  6 Ga 2.51-2.62, 3 Cu 2.67-2.71
Cu: 0.1271 0.3729 0.0000  6 Ga 2.51-2.62, 3 Cu 2.67-2.71

=====

(3)
The following is a DFT calculation (GGA-PBE) of a relaxed NaReSeBr2 crystal.

Offset from the most stable computed form in meV/atom: 0
Size of the total moment in μB/cell: 0.68
Formation energy (no corrections) in kJ per mole of atoms: -11

Cell: 5.3913 5.3913 4.7160 Å, 90.00 90.00 90.00°
With the nearest neighbours (Å) after each atom.
Element x y z (fractional)
Br: 0.5000 0.0000 0.0000  2 Re 2.70
Br: 0.0000 0.5000 0.0000  2 Re 2.70
Re: 0.0000 0.0000 0.0000  2 Se 2.36
Se: 0.0000 0.0000 0.5000  2 Re 2.36
Na: 0.5000 0.5000 0.5000  8 Br 3.58, 4 Se 3.81